Computed, not measured: a relaxed CaHgPb crystal at the PBE level of DFT.

a = 4.811 Å, b = 4.835 Å, c = 7.706 Å
α = 90.00°, β = 107.73°, γ = 90.00°
Atoms (fractional coordinates):
Ca (0.102, 0.250, 0.204)
Ca (0.898, 0.750, 0.796)
Hg (0.251, 0.750, 0.498)
Hg (0.749, 0.250, 0.502)
Pb (0.422, 0.250, 0.845)
Pb (0.578, 0.750, 0.155)

* E_form: -409 meV/atom
* space group: P2_1/m

Computed, not measured: a relaxed Ca2Ga3NiAu4 crystal at the PBE level of DFT.

a = 4.305 Å, b = 4.305 Å, c = 11.001 Å
α = 90.00°, β = 90.00°, γ = 90.00°
Atoms (fractional coordinates):
Ca (0.000, 0.500, 0.241)
Ca (0.500, 0.000, 0.759)
Ga (0.000, 0.000, 0.000)
Ga (0.000, 0.500, 0.636)
Ga (0.500, 0.000, 0.364)
Ni (0.500, 0.500, 0.000)
Au (0.000, 0.000, 0.500)
Au (0.000, 0.500, 0.865)
Au (0.500, 0.000, 0.135)
Au (0.500, 0.500, 0.500)

* E_form: -468 meV/atom
* space group: P-4m2

Computed, not measured: a relaxed KRe2Tc crystal at the PBE level of DFT.

a = 2.724 Å, b = 3.870 Å, c = 8.213 Å
α = 90.00°, β = 90.00°, γ = 90.00°
Atoms (fractional coordinates):
K (0.000, 0.000, 0.000)
Re (0.000, 0.000, 0.499)
Re (0.500, 0.500, 0.346)
Tc (0.500, 0.500, 0.654)

* E_form: 850 meV/atom
* space group: Pmm2
* relative energy among the computed polymorphs: 130 meV/atom

Computed, not measured: a relaxed HgGe2Br crystal at the PBE level of DFT.

a = 8.121 Å, b = 8.121 Å, c = 8.121 Å
α = 135.93°, β = 135.93°, γ = 64.08°
Atoms (fractional coordinates):
Hg (0.000, 0.000, 0.000)
Hg (0.750, 0.250, 0.500)
Ge (0.094, 0.625, 0.969)
Ge (0.375, 0.344, 0.469)
Ge (0.656, 0.125, 0.031)
Ge (0.875, 0.906, 0.531)
Br (0.250, 0.750, 0.500)
Br (0.500, 0.500, 0.000)

* space group: I-42d
* relative energy among the computed polymorphs: 26 meV/atom

no.,D(E_F) (states/eV per cell),raw total energy (eV/cell)
1,2.8,-14.48
2,5.4,-36.65
3,4.3,-32.96
4,1.9,-19.18